Ag2MoAsRh (GGA-PBE, optimized geometry); N(E_F) = 1.198 states/eV per atom; formation energy from the elements = 1.507 eV/atom; total magnetization = 0.3 μB per formula unit
1.0
5.090 0.000 0.000
0.000 4.571 0.000
0.000 0.000 5.090
Rh Mo As Ag
1 1 1 2
Direct
0.000 0.500 0.000 Rh
0.000 0.000 0.000 Mo
0.500 0.500 0.500 As
0.500 0.000 0.000 Ag
0.000 0.000 0.500 Ag